Entry 1:
Material: Li2Zn7Ni2
Method: DFT, PBE
State: optimized geometry

Cell and atoms, written as POSCAR:
```
Li2Zn7Ni2
1.0
-2.089 5.609 3.244
2.089 -5.609 3.244
2.089 5.609 -3.244
Li Zn Ni
2 7 2
direct
0.214 0.000 0.214
0.786 0.000 0.786
0.066 0.691 0.376
0.315 0.691 0.624
0.330 0.472 0.858
0.615 0.472 0.142
0.660 0.298 0.363
0.794 0.794 0.000
0.935 0.298 0.637
0.178 0.178 0.000
0.503 0.003 0.500
```

Output
Space-group type: Imm2, No. 44
Energy relative to the lowest polymorph listed for this composition: 0 meV/atom



Entry 2:
Material: Li6ZnNi2
Method: DFT, PBE
State: optimized geometry

Cell and atoms, written as POSCAR:
```
Li6ZnNi2
1.0
5.557 -1.373 0.000
5.557 1.373 0.000
-2.429 0.000 8.754
Li Zn Ni
6 1 2
direct
0.036 0.036 0.332
0.305 0.305 0.394
0.333 0.333 0.108
0.667 0.667 0.892
0.695 0.695 0.606
0.964 0.964 0.668
0.000 0.000 0.000
0.345 0.345 0.820
0.655 0.655 0.180
```

Output
Space-group type: C2/m, No. 12
Energy relative to the lowest polymorph listed for this composition: 0 meV/atom



Entry 3:
Material: Li4Zn3Ni
Method: DFT, PBE
State: optimized geometry

Cell and atoms, written as POSCAR:
```
Li4Zn3Ni
1.0
2.061 -11.228 0.000
2.061 11.228 0.000
0.000 0.000 2.666
Li Zn Ni
4 3 1
direct
0.094 0.906 0.000
0.216 0.784 0.000
0.784 0.216 0.000
0.906 0.094 0.000
0.335 0.665 0.500
0.500 0.500 0.000
0.665 0.335 0.500
0.000 0.000 0.500
```

Output
Space-group type: Cmmm, No. 65



Raw total energy? In order: -2.3552, -2.7372, -2.2287 eV per atom.
ΔE_f? In order: -0.145, -0.035, -0.071 eV/atom.